A plane-wave DFT calculation with PBE-GGA was carried out for an optimized crystal structure of Tc.

Results
* total moment: 0.0 μB per formula unit
* SG: I-43m (217)
* formation energy from the elements: 44 meV per atom

Geometry as POSCAR:
```
Tc
1.0
-4.4851 -2.9669 -6.2187
2.9090 7.4207 -2.0154
6.2790 -5.0847 1.5203
Tc
29
direct
0.1922 0.0000 0.3722 Tc
0.0000 0.6840 0.3996 Tc
0.6278 0.8200 0.6278 Tc
0.3722 0.0000 0.1922 Tc
0.3160 0.3160 0.7156 Tc
0.0000 0.0000 0.0000 Tc
0.3996 0.0000 0.6840 Tc
0.6278 0.6278 0.8200 Tc
0.3722 0.1922 0.0000 Tc
0.6414 0.0000 0.0000 Tc
0.8200 0.6278 0.6278 Tc
0.1922 0.3722 0.0000 Tc
0.0000 0.0000 0.6414 Tc
0.3586 0.3586 0.3586 Tc
0.1800 0.8078 0.8078 Tc
0.3160 0.7156 0.3160 Tc
0.7156 0.3160 0.3160 Tc
0.6840 0.0000 0.3996 Tc
0.2844 0.6004 0.6004 Tc
0.0000 0.6414 0.0000 Tc
0.6004 0.2844 0.6004 Tc
0.0000 0.3996 0.6840 Tc
0.3996 0.6840 0.0000 Tc
0.8078 0.8078 0.1800 Tc
0.0000 0.3722 0.1922 Tc
0.6004 0.6004 0.2844 Tc
0.6840 0.3996 0.0000 Tc
0.8078 0.1800 0.8078 Tc
0.0000 0.1922 0.3722 Tc
```

=====

A plane-wave DFT calculation with PBE-GGA was carried out for an optimized crystal structure of PrIrW.

Results
* total moment: 2.4 μB per formula unit
* SG: F-43m (216)
* formation energy from the elements: 1641 meV per atom

Geometry as POSCAR:
```
PrIrW
1.0
2.3319 1.3463 3.8079
-2.3319 1.3463 3.8079
0.0000 -2.6926 3.8079
Pr Ir W
1 1 1
direct
0.0000 0.0000 0.0000 Pr
0.2500 0.2500 0.2500 Ir
0.7500 0.7500 0.7500 W
```

=====

A plane-wave DFT calculation with PBE-GGA was carried out for an optimized crystal structure of LuCuSiMo.

Results
* total moment: 1.1 μB per formula unit
* uncorrected energy: -22.5 eV/cell
* SG: F-43m (216)

Geometry as POSCAR:
```
LuCuSiMo
1.0
0.0000 3.2291 3.2291
3.2291 0.0000 3.2291
3.2291 3.2291 0.0000
Cu Si Mo Lu
1 1 1 1
direct
0.7500 0.7500 0.7500 Cu
0.0000 0.0000 0.0000 Si
0.5000 0.5000 0.5000 Mo
0.2500 0.2500 0.2500 Lu
```

=====

A plane-wave DFT calculation with PBE-GGA was carried out for an optimized crystal structure of Er2AlZn.

Results
* total moment: 0.0 μB per formula unit
* uncorrected energy: -15.7 eV/cell
* SG: P4/mmm (123)

Geometry as POSCAR:
```
Er2AlZn
1.0
3.5308 0.0000 0.0000
0.0000 3.5308 0.0000
0.0000 0.0000 7.1621
Er Al Zn
2 1 1
direct
0.5000 0.5000 0.2450 Er
0.5000 0.5000 0.7550 Er
0.0000 0.0000 0.5000 Al
0.0000 0.0000 0.0000 Zn
```

=====

A plane-wave DFT calculation with PBE-GGA was carried out for an optimized crystal structure of SnPPtO.

Results
* total moment: 0.0 μB per formula unit
* uncorrected energy: -43.8 eV/cell
* SG: Pmc2_1 (26)

Geometry as POSCAR:
```
SnPPtO
1.0
-3.1732 -0.5216 1.3101
2.6109 0.0607 6.3481
-0.9167 6.3712 0.3162
Sn O Pt P
2 2 2 2
direct
0.5000 0.6905 0.4489 Sn
0.5000 0.3095 0.9489 Sn
0.0000 0.8565 0.4003 O
0.0000 0.1435 0.9003 O
0.0000 0.2233 0.5465 Pt
0.0000 0.7767 0.0465 Pt
0.5000 0.3229 0.3583 P
0.5000 0.6771 0.8583 P
```

=====

A plane-wave DFT calculation with PBE-GGA was carried out for an optimized crystal structure of Pr3In3Pd2Pt.

Results
* total moment: 0.0 μB per formula unit
* uncorrected energy: -46.3 eV/cell
* SG: P-62m (189)

Geometry as POSCAR:
```
Pr3In3Pd2Pt
1.0
7.7428 0.0000 0.0000
-3.8714 6.7055 0.0000
0.0000 0.0000 4.1355
Pt Pd Pr In
1 2 3 3
direct
0.0000 0.0000 0.5000 Pt
0.3333 0.6667 0.0000 Pd
0.6667 0.3333 0.0000 Pd
0.5916 0.5916 0.5000 Pr
0.4084 0.0000 0.5000 Pr
0.0000 0.4084 0.5000 Pr
0.0000 0.7483 0.0000 In
0.7483 0.0000 0.0000 In
0.2517 0.2517 0.0000 In
```

=====

A plane-wave DFT calculation with PBE-GGA was carried out for an optimized crystal structure of Pr2YZn2Si4Au2.

Results
* total moment: 0.0 μB per formula unit
* uncorrected energy: -54.1 eV/cell
* SG: Immm (71)

Geometry as POSCAR:
```
Pr2YZn2Si4Au2
1.0
-2.0778 2.1373 12.5558
2.0778 -2.1373 12.5558
2.0778 2.1373 -12.5558
Au Si Pr Zn Y
2 4 2 2 1
direct
0.9064 0.4064 0.5000 Au
0.0936 0.5936 0.5000 Au
0.1922 0.6922 0.5000 Si
0.4535 0.4535 0.0000 Si
0.8078 0.3078 0.5000 Si
0.5465 0.5465 0.0000 Si
0.6470 0.1470 0.5000 Pr
0.3530 0.8530 0.5000 Pr
0.7496 0.7496 0.0000 Zn
0.2504 0.2504 0.0000 Zn
0.0000 0.0000 0.0000 Y
```

=====

A plane-wave DFT calculation with PBE-GGA was carried out for an optimized crystal structure of LuZnCoAu.

Results
* total moment: 0.9 μB per formula unit
* SG: F-43m (216)
* formation energy from the elements: -293 meV per atom

Geometry as POSCAR:
```
LuZnCoAu
1.0
0.0000 3.2322 3.2322
3.2322 0.0000 3.2322
3.2322 3.2322 0.0000
Co Au Lu Zn
1 1 1 1
direct
0.7500 0.7500 0.7500 Co
0.2500 0.2500 0.2500 Au
0.5000 0.5000 0.5000 Lu
0.0000 0.0000 0.0000 Zn
```